Record 1
LiCaSN after structural relaxation, computed with PBE.

Values from the calculation:
- Formation energy without anion corrections: -0.770 eV/atom
- Distance to the lowest polymorph of the same formula: 59 meV per atom
- E: -4.862 eV/atom
- Size of the total moment: 0.0 Bohr magnetons per cell
- ρ: 2.55 g cm⁻³

a = 5.030 Å, b = 4.862 Å, c = 5.390 Å
α = 90.00°, β = 113.02°, γ = 90.00°
Positions (direct):
Li1 0.094 0.000 0.529
Li2 0.094 0.500 0.029
Ca1 0.500 0.000 0.138
Ca2 0.500 0.500 0.638
S1 0.858 0.000 0.856
S2 0.858 0.500 0.356
N1 0.504 0.000 0.603
N2 0.504 0.500 0.103


Record 2
LiCaSN after structural relaxation, computed with PBE.

Values from the calculation:
- Formation energy without anion corrections: -0.828 eV/atom
- Distance to the lowest polymorph of the same formula: 0 meV per atom
- E: -4.921 eV/atom
- Size of the total moment: 0.0 Bohr magnetons per cell
- ρ: 2.26 g cm⁻³

a = 4.108 Å, b = 4.108 Å, c = 14.038 Å
α = 90.00°, β = 90.00°, γ = 120.00°
Positions (direct):
Li1 0.000 0.000 0.407
Li2 0.333 0.667 0.073
Li3 0.667 0.333 0.740
Ca1 0.000 0.000 0.892
Ca2 0.333 0.667 0.559
Ca3 0.667 0.333 0.225
S1 0.000 0.000 0.669
S2 0.333 0.667 0.335
S3 0.667 0.333 0.002
N1 0.000 0.000 0.542
N2 0.333 0.667 0.209
N3 0.667 0.333 0.875


Record 3
LiCaSN after structural relaxation, computed with PBE.

Values from the calculation:
- Formation energy without anion corrections: -0.766 eV/atom
- Distance to the lowest polymorph of the same formula: 63 meV per atom
- E: -4.858 eV/atom
- Size of the total moment: 0.0 Bohr magnetons per cell
- ρ: 2.21 g cm⁻³

a = 5.392 Å, b = 4.074 Å, c = 7.068 Å
α = 90.00°, β = 115.85°, γ = 90.00°
Positions (direct):
Li1 0.099 0.000 0.548
Li2 0.099 0.500 0.048
Ca1 0.521 0.000 0.356
Ca2 0.521 0.500 0.856
S1 0.852 0.000 0.799
S2 0.852 0.500 0.299
N1 0.485 0.000 0.677
N2 0.485 0.500 0.177


Record 4
LiCaS2N after structural relaxation, computed with PBE.

Values from the calculation:
- Formation energy without anion corrections: 0.019 eV/atom
- Distance to the lowest polymorph of the same formula: 0 meV per atom
- E: -4.080 eV/atom
- Size of the total moment: 2.8 Bohr magnetons per cell
- ρ: 2.36 g cm⁻³

a = 4.658 Å, b = 4.658 Å, c = 4.055 Å
α = 90.00°, β = 90.00°, γ = 90.00°
Positions (direct):
Ca1 0.500 0.500 0.500
Li1 0.000 0.000 0.000
S1 0.000 0.500 0.000
S2 0.500 0.000 0.000
N1 0.000 0.000 0.500


Record 5
LiCaSN after structural relaxation, computed with PBE.

Values from the calculation:
- Formation energy without anion corrections: -0.763 eV/atom
- Distance to the lowest polymorph of the same formula: 65 meV per atom
- E: -4.855 eV/atom
- Size of the total moment: 0.0 Bohr magnetons per cell
- ρ: 2.16 g cm⁻³

a = 3.963 Å, b = 3.992 Å, c = 5.409 Å
α = 71.16°, β = 73.79°, γ = 63.37°
Positions (direct):
Li1 0.478 0.613 0.638
Ca1 0.955 0.036 0.066
S1 0.818 0.962 0.619
N1 0.634 0.725 0.934


Record 6
LiCaS2N after structural relaxation, computed with PBE.

Values from the calculation:
- Formation energy without anion corrections: 0.341 eV/atom
- Distance to the lowest polymorph of the same formula: 323 meV per atom
- E: -3.758 eV/atom
- Size of the total moment: 3.9 Bohr magnetons per cell
- ρ: 1.54 g cm⁻³

a = 5.356 Å, b = 5.356 Å, c = 4.701 Å
α = 90.00°, β = 90.00°, γ = 90.00°
Positions (direct):
Ca1 0.000 0.000 0.000
Li1 0.500 0.500 0.500
S1 0.000 0.500 0.000
S2 0.500 0.000 0.000
N1 0.000 0.000 0.500


> Look up the formation energy without anion corrections of the second one.

-0.828 eV/atom


> size of the total moment of number 2 (LiCaSN)?

0.0 Bohr magnetons per cell